Computed, not measured: crystalline Gd2HoSb at its relaxed geometry at the PBE level of DFT.

a b c (Å): 10.016 10.016 10.016
angles (deg): 22.95 22.95 22.95
Fractional coordinates of all 4 atoms:
Gd: 0.235 0.235 0.235
Gd: 0.765 0.765 0.765
Ho: 0.000 0.000 0.000
Sb: 0.500 0.500 0.500

Calculated values
Formation energy without anion corrections   -0.3188 eV/atom
Space-group type   R-3m
Theoretical density   7.4 g cm⁻³
Polymorph energy (0 for the lowest one)   196 meV/atom

---

Computed, not measured: crystalline TiIr3Br at its relaxed geometry at the PBE level of DFT.

a b c (Å): 4.594 4.594 4.594
angles (deg): 90.00 90.00 90.00
Fractional coordinates of all 5 atoms:
Ti: 0.000 0.000 0.000
Ir: 0.000 0.500 0.500
Ir: 0.500 0.000 0.500
Ir: 0.500 0.500 0.000
Br: 0.500 0.500 0.500

Calculated values
Formation energy without anion corrections   1.5947 eV/atom
Space-group type   Pm-3m
Theoretical density   12.1 g cm⁻³
Polymorph energy (0 for the lowest one)   84 meV/atom

---

Computed, not measured: crystalline Mg10Cd3In3 at its relaxed geometry at the PBE level of DFT.

a b c (Å): 8.543 8.543 5.890
angles (deg): 90.00 90.00 120.00
Fractional coordinates of all 16 atoms:
Mg: 0.000 0.225 0.000
Mg: 0.000 0.769 0.500
Mg: 0.225 0.000 0.000
Mg: 0.231 0.231 0.500
Mg: 0.333 0.667 0.249
Mg: 0.333 0.667 0.751
Mg: 0.667 0.333 0.249
Mg: 0.667 0.333 0.751
Mg: 0.769 0.000 0.500
Mg: 0.775 0.775 0.000
Cd: 0.000 0.600 0.000
Cd: 0.400 0.400 0.000
Cd: 0.600 0.000 0.000
In: 0.000 0.400 0.500
In: 0.400 0.000 0.500
In: 0.600 0.600 0.500

Calculated values
Total DFT energy (no corrections)   -27.8 eV for the cell shown
Space-group type   P-62m
Theoretical density   4.1 g cm⁻³